No. 1
VASP calculation (PBE-GGA) on an optimized crystal structure of BeSnHg.

## Properties
The calculation puts the calculated volume at 20.193 A^3/atom. Its space group is P-1 (2). Its total energy is -14.3 eV for the cell shown.

```
data_BeSnHg
_cell_length_a 6.2550
_cell_length_b 5.7252
_cell_length_c 3.4070
_cell_angle_alpha 89.92
_cell_angle_beta 89.97
_cell_angle_gamma 96.77
_symmetry_space_group_name_H-M 'P 1'
_symmetry_Int_Tables_number 1
_symmetry_space_group_name_Hall 'P 1'
loop_
_atom_site_label
_atom_site_fract_x
_atom_site_fract_y
_atom_site_fract_z
Sn1 0.8466 0.5271 0.9165
Hg1 0.9564 0.0563 0.4159
Hg2 0.2943 0.7480 0.9167
Sn2 0.4043 0.2772 0.4162
Be1 0.6441 0.0446 0.9161
Be2 0.6067 0.7591 0.4166
```


No. 2
VASP calculation (PBE-GGA) on an optimized crystal structure of BeSnHg.

## Properties
The calculation puts the calculated volume at 20.532 A^3/atom. Its space group is P1 (1). Its total energy is -14.2 eV for the cell shown.

```
data_BeSnHg
_cell_length_a 7.2827
_cell_length_b 5.9482
_cell_length_c 3.2153
_cell_angle_alpha 89.99
_cell_angle_beta 77.26
_cell_angle_gamma 114.28
_symmetry_space_group_name_H-M 'P 1'
_symmetry_Int_Tables_number 1
_symmetry_space_group_name_Hall 'P 1'
loop_
_atom_site_label
_atom_site_fract_x
_atom_site_fract_y
_atom_site_fract_z
Hg1 0.8119 0.9502 0.4740
Be1 0.1255 0.1798 0.8198
Sn1 0.8857 0.4618 0.9384
Be2 0.1250 0.8551 0.3207
Hg2 0.4391 0.2638 0.1592
Sn2 0.3652 0.7016 0.6979
```


No. 3
VASP calculation (PBE-GGA) on an optimized crystal structure of Be2SnHg2.

## Properties
The calculation puts the calculated volume at 18.605 A^3/atom. Its space group is P4/mbm (127). The offset from the most stable computed form comes out at 0.230 eV/f.u. Its total energy is -19.5 eV for the cell shown.

```
data_Be2SnHg2
_cell_length_a 6.6923
_cell_length_b 6.6923
_cell_length_c 4.1542
_cell_angle_alpha 90.00
_cell_angle_beta 90.00
_cell_angle_gamma 90.00
_symmetry_space_group_name_H-M 'P 1'
_symmetry_Int_Tables_number 1
_symmetry_space_group_name_Hall 'P 1'
loop_
_atom_site_label
_atom_site_fract_x
_atom_site_fract_y
_atom_site_fract_z
Hg1 0.8355 0.3355 0.5000
Hg2 0.1645 0.6645 0.5000
Sn1 0.0000 0.0000 0.0000
Be1 0.6196 0.1196 0.0000
Hg3 0.6645 0.8355 0.5000
Sn2 0.5000 0.5000 0.0000
Be2 0.3804 0.8804 0.0000
Hg4 0.3355 0.1645 0.5000
Be3 0.1196 0.3804 0.0000
Be4 0.8804 0.6196 0.0000
```


No. 4
VASP calculation (PBE-GGA) on an optimized crystal structure of BeSn2Hg.

## Properties
The calculation puts the calculated volume at 28.528 A^3/atom. Its space group is I-42d (122). The offset from the most stable computed form comes out at 0.000 eV/f.u. Its total energy is -20.7 eV for the cell shown.

```
data_BeSn2Hg
_cell_length_a 6.1937
_cell_length_b 6.1937
_cell_length_c 7.3874
_cell_angle_alpha 65.22
_cell_angle_beta 65.22
_cell_angle_gamma 90.00
_symmetry_space_group_name_H-M 'P 1'
_symmetry_Int_Tables_number 1
_symmetry_space_group_name_Hall 'P 1'
loop_
_atom_site_label
_atom_site_fract_x
_atom_site_fract_y
_atom_site_fract_z
Sn1 0.5414 0.1250 0.2500
Sn2 0.3750 0.4586 0.7500
Be1 0.2500 0.7500 0.5000
Hg1 0.7500 0.2500 0.5000
Sn3 0.8750 0.7914 0.7500
Hg2 0.0000 0.0000 0.0000
Be2 0.5000 0.5000 0.0000
Sn4 0.2086 0.6250 0.2500
```


No. 5
VASP calculation (PBE-GGA) on an optimized crystal structure of BeSnHg.

## Properties
The calculation puts the calculated volume at 20.710 A^3/atom. Its space group is P-1 (2). Its total energy is -14.2 eV for the cell shown.

```
data_BeSnHg
_cell_length_a 6.1845
_cell_length_b 6.0643
_cell_length_c 3.3768
_cell_angle_alpha 86.03
_cell_angle_beta 80.58
_cell_angle_gamma 84.94
_symmetry_space_group_name_H-M 'P 1'
_symmetry_Int_Tables_number 1
_symmetry_space_group_name_Hall 'P 1'
loop_
_atom_site_label
_atom_site_fract_x
_atom_site_fract_y
_atom_site_fract_z
Sn1 0.9317 0.6535 0.3617
Sn2 0.9855 0.1506 0.6366
Hg1 0.5073 0.1966 0.3114
Be1 0.2726 0.9132 0.1366
Be2 0.6454 0.8906 0.8634
Hg2 0.4099 0.6076 0.6884
```


No. 6
VASP calculation (PBE-GGA) on an optimized crystal structure of BeSnHg.

## Properties
The calculation puts the calculated volume at 21.929 A^3/atom. Its space group is P1 (1). Its total energy is -14.3 eV for the cell shown.

```
data_BeSnHg
_cell_length_a 5.3389
_cell_length_b 6.6663
_cell_length_c 6.7187
_cell_angle_alpha 132.79
_cell_angle_beta 65.96
_cell_angle_gamma 83.91
_symmetry_space_group_name_H-M 'P 1'
_symmetry_Int_Tables_number 1
_symmetry_space_group_name_Hall 'P 1'
loop_
_atom_site_label
_atom_site_fract_x
_atom_site_fract_y
_atom_site_fract_z
Hg1 0.5380 0.2467 0.8937
Be1 0.5672 0.7646 0.3715
Sn1 0.2527 0.9627 0.2760
Hg2 0.7641 0.4705 0.4349
Be2 0.0556 0.2742 0.8816
Sn2 0.9870 0.6934 0.8926
```


No. 7
VASP calculation (PBE-GGA) on an optimized crystal structure of BeSnHg.

## Properties
The calculation puts the calculated volume at 20.746 A^3/atom. Its space group is P1 (1). Its total energy is -14.9 eV for the cell shown.

```
data_BeSnHg
_cell_length_a 4.1546
_cell_length_b 4.6967
_cell_length_c 6.7149
_cell_angle_alpha 93.80
_cell_angle_beta 107.75
_cell_angle_gamma 90.19
_symmetry_space_group_name_H-M 'P 1'
_symmetry_Int_Tables_number 1
_symmetry_space_group_name_Hall 'P 1'
loop_
_atom_site_label
_atom_site_fract_x
_atom_site_fract_y
_atom_site_fract_z
Sn1 0.8642 0.6980 0.3622
Hg1 0.0940 0.6561 0.8163
Be1 0.2756 0.9315 0.1823
Hg2 0.4569 0.2096 0.5475
Be2 0.2758 0.4315 0.1825
Sn2 0.6865 0.1669 0.0014
```


No. 8
VASP calculation (PBE-GGA) on an optimized crystal structure of BeSnHg.

## Properties
The calculation puts the calculated volume at 21.940 A^3/atom. Its space group is P-1 (2). Its total energy is -14.6 eV for the cell shown.

```
data_BeSnHg
_cell_length_a 3.8155
_cell_length_b 6.2824
_cell_length_c 7.0458
_cell_angle_alpha 121.55
_cell_angle_beta 66.59
_cell_angle_gamma 105.78
_symmetry_space_group_name_H-M 'P 1'
_symmetry_Int_Tables_number 1
_symmetry_space_group_name_Hall 'P 1'
loop_
_atom_site_label
_atom_site_fract_x
_atom_site_fract_y
_atom_site_fract_z
Be1 0.4179 0.1583 0.9986
Be2 0.6023 0.9774 0.6376
Sn1 0.8856 0.7997 0.8184
Sn2 0.1346 0.3356 0.8173
Hg1 0.5104 0.5678 0.3180
Hg2 0.0100 0.0677 0.3180
```